This record from OQMD via LeMat-Bulk describes NdHoGe after structural relaxation. The functional is PBE.

a b c (Å): 5.0508 5.0508 5.0508
angles (deg): 60.00 60.00 60.00
Last column: magnetic moment on the atom in μB.
Element x y z (fractional)
1 Ge 0.2500 0.2500 0.2500  -0.01
2 Ho 0.7500 0.7500 0.7500  0.09
3 Nd 0.0000 0.0000 0.0000  0.05

As for the volume: 30.4 Å³ per atom. The value obtained for the relative energy among the computed polymorphs is 883.0 meV per atom. Its space-group type is F-43m.